! Ba2NpGaS6, optimized geometry, DFT GGA-PBE; values from VASP
&SYSTEM
  ibrav = 0, nat = 20, ntyp = 4
/
ATOMIC_SPECIES
Ba 137.33 Ba.upf
Np 237.00 Np.upf
Ga 69.72 Ga.upf
S 32.06 S.upf
CELL_PARAMETERS angstrom
7.020 0.000 0.000
3.510 6.080 0.000
3.510 2.027 11.888
ATOMIC_POSITIONS angstrom
Ba 10.531 6.080 4.534
Ba 3.510 2.027 7.354
Ba 10.531 6.080 10.535
Ba 3.510 2.027 1.353
Np 7.020 4.053 2.917
Np 7.020 4.053 8.970
Ga 0.000 0.000 0.000
Ga 7.020 4.053 5.944
S 8.786 3.034 4.515
S 7.020 6.093 4.515
S 5.254 3.034 4.515
S 5.254 5.073 7.373
S 7.020 2.014 7.373
S 8.786 5.073 7.373
S 8.822 3.013 10.442
S 7.020 6.134 10.442
S 5.219 3.013 10.442
S 5.219 5.093 1.446
S 7.020 1.973 1.446
S 8.822 5.093 1.446
! - raw formation energy (eV per atom) = -1.372